4
Lattice="0.0000 3.8749 3.8749 3.8749 0.0000 3.8749 3.8749 3.8749 0.0000" Properties=species:S:1:pos:R:3 comment="Sr2SbH | Alexandria via LeMat-Bulk | PBE | optimized geometry" total_energy_ev_per_atom=-3.355 magnetic_moment_mub_per_fu=0.0 pbc="T T T"
Sr 1.9374 1.9374 1.9374
Sr 5.8123 5.8123 5.8123
Sb 0.0000 0.0000 0.0000
H 3.8749 3.8749 3.8749